# 1
## ZrFe2Co (PBE-GGA)

Data for crystalline ZrFe2Co at its relaxed geometry.

- final energy (eV per atom) = -7.831
- symmetry = R-3m

The structure in POSCAR format:
```
ZrFe2Co
1.0
1.400 0.808 8.588
-1.400 0.808 8.588
0.000 -1.617 8.588
Zr Fe Co
1 2 1
Cartesian
0.000 0.000 0.000 Zr
0.000 0.000 6.158 Fe
0.000 0.000 19.607 Fe
0.000 0.000 12.883 Co
```

# 2
## ZrFeCo2 (PBE-GGA)

Data for crystalline ZrFeCo2 at its relaxed geometry.

- final energy (eV per atom) = -7.780
- symmetry = P2/m

The structure in POSCAR format:
```
ZrFeCo2
1.0
2.783 0.000 0.000
0.000 3.807 0.000
-1.221 0.000 5.246
Zr Fe Co
1 1 2
Cartesian
0.000 0.000 0.000 Zr
-0.611 0.000 2.623 Fe
0.314 1.903 3.720 Co
1.248 1.903 1.526 Co
```

| no. | DOS at the Fermi energy (states/eV per cell) |
| --- | --- |
| 1 | 4.28 |
| 2 | 4.13 |